Record 1
Below is Cr2SiHg after structural relaxation, with properties calculated at the PBE level.

volume	128.40	Å³ per cell
crystal system	tetragonal
formation energy from raw total energies	0.775	eV per atom
E	-0.20094	hartree per atom

Cell lengths 3.769, 3.769, 9.424 Å; angles 78.46, 78.46, 90.00 degrees
Element x y z (fractional)
Cr 0.208 0.625 0.250
Hg 0.750 0.250 0.500
Hg 0.000 0.000 0.000
Si 0.500 0.500 0.000
Cr 0.542 0.125 0.250
Si 0.250 0.750 0.500
Cr 0.875 0.792 0.750
Cr 0.375 0.458 0.750

***

Record 2
Below is Cs3TiAu after structural relaxation, with properties calculated at the PBE level.

calculated formation energy	770	meV per atom
volume	328.04	Å³ per cell
crystal system	cubic
offset from the most stable computed form	0.000	eV per atom
E	-0.07264	hartree per atom

Cell lengths 6.897, 6.897, 6.897 Å; angles 90.00, 90.00, 90.00 degrees
Each line ends with the local moment (μB).
Element x y z (fractional)
Cs 0.000 0.500 0.000  0.01
Cs 0.500 0.000 0.000  0.01
Cs 0.000 0.000 0.500  0.01
Ti 0.500 0.500 0.500  -0.16
Au 0.000 0.000 0.000  0.00

***

Record 3
Below is LiScPbF6 after structural relaxation, with properties calculated at the PBE level.

volume	269.68	Å³ per cell
crystal system	trigonal
formation energy from raw total energies	-3.222	eV per atom
E	-0.21308	hartree per atom

Cell lengths 5.409, 5.409, 10.642 Å; angles 90.00, 90.00, 120.00 degrees
Element x y z (fractional)
F 0.637 0.631 0.644
F 0.006 0.369 0.144
Li 0.667 0.333 0.250
Li 0.333 0.667 0.750
Sc 0.333 0.667 0.250
F 0.006 0.637 0.356
Pb 0.000 0.000 0.000
Pb 0.000 0.000 0.500
F 0.994 0.363 0.644
F 0.369 0.363 0.856
F 0.631 0.637 0.144
F 0.369 0.006 0.644
Sc 0.667 0.333 0.750
F 0.363 0.994 0.144
F 0.637 0.006 0.856
F 0.363 0.369 0.356
F 0.631 0.994 0.356
F 0.994 0.631 0.856

***

Record 4
Below is Zn2Ag2Pd7 after structural relaxation, with properties calculated at the PBE level.

calculated formation energy	-121	meV per atom
volume	174.68	Å³ per cell
crystal system	monoclinic
E	-0.15343	hartree per atom

Cell lengths 7.817, 4.844, 4.844 Å; angles 106.23, 85.70, 85.70 degrees
Element x y z (fractional)
Zn 0.662 0.181 0.181
Ag 0.500 0.728 0.272
Pd 0.305 0.254 0.254
Pd 0.144 0.419 0.807
Pd 0.695 0.746 0.746
Zn 0.338 0.819 0.819
Ag 0.500 0.272 0.728
Pd 0.000 0.000 0.000
Pd 0.856 0.581 0.193
Pd 0.144 0.807 0.419
Pd 0.856 0.193 0.581

***

Record 5
Below is YMnFe2 after structural relaxation, with properties calculated at the PBE level.

calculated formation energy	598	meV per atom
volume	68.75	Å³ per cell
crystal system	trigonal
offset from the most stable computed form	0.476	eV per atom
E	-0.27716	hartree per atom

Cell lengths 8.886, 8.886, 8.886 Å; angles 19.56, 19.56, 19.56 degrees
Each line ends with the local moment (μB).
Element x y z (fractional)
Fe 0.745 0.745 0.745  2.70
Mn 0.487 0.487 0.487  3.55
Y 0.254 0.254 0.254  -0.07
Fe 0.013 0.013 0.013  2.64

***

Record 6
Below is UMnCrP2 after structural relaxation, with properties calculated at the PBE level.

calculated formation energy	-691	meV per atom
volume	71.85	Å³ per cell
crystal system	tetragonal
E	-0.32600	hartree per atom

Cell lengths 3.929, 3.929, 5.420 Å; angles 111.25, 111.25, 90.00 degrees
Each line ends with the local moment (μB).
Element x y z (fractional)
P 0.371 0.371 0.742  0.01
U 0.000 0.000 0.000  1.71
P 0.629 0.629 0.258  0.01
Mn 0.250 0.750 0.500  -0.78
Cr 0.750 0.250 0.500  -0.57

***

Record 7
Below is Na2ThBr6 after structural relaxation, with properties calculated at the PBE level.

volume	666.54	Å³ per cell
crystal system	monoclinic
offset from the most stable computed form	0.000	eV per atom
formation energy from raw total energies	-1.670	eV per atom
E	-0.14341	hartree per atom

Cell lengths 7.015, 7.530, 12.618 Å; angles 90.02, 90.00, 90.00 degrees
Element x y z (fractional)
Br 0.269 0.661 0.160
Na 0.000 0.500 0.322
Na 0.000 0.500 0.678
Br 0.277 0.184 0.000
Br 0.767 0.839 0.660
Br 0.731 0.339 0.840
Br 0.267 0.661 0.840
Br 0.723 0.816 0.000
Th 0.500 0.500 0.000
Br 0.769 0.839 0.340
Br 0.233 0.161 0.340
Br 0.231 0.161 0.660
Br 0.223 0.684 0.500
Br 0.733 0.339 0.160
Th 0.000 0.000 0.500
Na 0.500 0.000 0.822
Na 0.500 0.000 0.178
Br 0.777 0.316 0.500

***

Record 8
Below is YMnSb2 after structural relaxation, with properties calculated at the PBE level.

volume	97.32	Å³ per cell
crystal system	cubic
formation energy from raw total energies	0.041	eV per atom
E	-0.21786	hartree per atom

Cell lengths 5.163, 5.163, 5.163 Å; angles 60.00, 60.00, 60.00 degrees
Each line ends with the local moment (μB).
Element x y z (fractional)
Y 0.750 0.750 0.750  -0.13
Mn 0.500 0.500 0.500  3.67
Sb 0.000 0.000 0.000  -0.01
Sb 0.250 0.250 0.250  -0.08

***

Record 9
Below is TcBr2O after structural relaxation, with properties calculated at the PBE level.

volume	167.11	Å³ per cell
crystal system	tetragonal
offset from the most stable computed form	1.499	eV per atom
formation energy from raw total energies	0.743	eV per atom
E	-0.14421	hartree per atom

Cell lengths 6.168, 6.168, 6.190 Å; angles 60.12, 60.12, 90.00 degrees
Element x y z (fractional)
O 0.500 0.500 0.000
Br 0.875 0.885 0.750
O 0.250 0.750 0.500
Tc 0.750 0.250 0.500
Br 0.635 0.125 0.250
Tc 0.000 0.000 0.000
Br 0.375 0.365 0.750
Br 0.115 0.625 0.250

***

Record 10
Below is HfTcMo2 after structural relaxation, with properties calculated at the PBE level.

calculated formation energy	-191	meV per atom
volume	66.41	Å³ per cell
crystal system	monoclinic
offset from the most stable computed form	0.000	eV per atom
E	-0.39271	hartree per atom

Cell lengths 3.203, 4.487, 5.377 Å; angles 114.57, 107.33, 90.00 degrees
Element x y z (fractional)
Mo 0.242 0.242 0.485
Hf 0.000 0.500 0.000
Mo 0.758 0.758 0.515
Tc 0.500 0.000 0.000

***

Record 11
Below is Sr3CaP2N after structural relaxation, with properties calculated at the PBE level.

volume	181.59	Å³ per cell
crystal system	orthorhombic
formation energy from raw total energies	-0.901	eV per atom
E	-0.17061	hartree per atom

Cell lengths 4.724, 4.832, 8.643 Å; angles 106.23, 105.86, 90.00 degrees
Each line ends with the local moment (μB).
Element x y z (fractional)
Sr 0.171 0.171 0.343  0.00
N 0.000 0.000 0.000  0.14
Sr 0.000 0.500 0.000  0.02
P 0.366 0.366 0.732  0.00
Ca 0.500 0.000 0.000  0.00
Sr 0.829 0.829 0.657  0.00
P 0.634 0.634 0.268  0.00

***

Record 12
Below is NdGdMgCo after structural relaxation, with properties calculated at the PBE level.

calculated formation energy	40	meV per atom
volume	95.87	Å³ per cell
crystal system	cubic
E	-0.25163	hartree per atom

Cell lengths 5.137, 5.137, 5.137 Å; angles 60.00, 60.00, 60.00 degrees
Each line ends with the local moment (μB).
Element x y z (fractional)
Gd 0.000 0.000 0.000  -7.20
Co 0.750 0.750 0.750  1.15
Mg 0.250 0.250 0.250  0.01
Nd 0.500 0.500 0.500  -0.13

***

Q: Look up the volume of the tenth one.
A: 66.41 Å³ per cell

***

Q: The lowest volume belongs to which entry?
A: HfTcMo2